[1]
Below is a relaxed structure of NiAgTe2, with properties calculated at the GGA-PBE level.

Computed properties:
**Crystal system**: trigonal
**Uncorrected energy**: -3.669 eV/atom
**Calculated volume**: 277 Å³/cell
**Uncorrected formation energy**: 0.06 eV per atom

The structure in extended XYZ format:
```
12
Lattice="4.0265 0.0000 0.0000 -2.0132 3.4870 0.0000 0.0000 0.0000 19.7509" Properties=species:S:1:pos:R:3 pbc="T T T"
Ni 0.0000 0.0000 0.0000
Ni 0.0000 2.3247 13.1673
Ni 2.0132 1.1623 6.5836
Ag 0.0000 0.0000 5.2334
Ag 0.0000 2.3247 18.4007
Ag 2.0132 1.1623 11.8171
Te 0.0000 0.0000 10.3153
Te 0.0000 0.0000 14.1672
Te 0.0000 2.3247 3.7317
Te 0.0000 2.3247 7.5836
Te 2.0132 1.1623 0.9999
Te 2.0132 1.1623 16.8990
```

=====

[2]
Below is a relaxed structure of NiAg2Te, with properties calculated at the GGA-PBE level.

Computed properties:
**Crystal system**: tetragonal
**Uncorrected energy**: -3.366 eV/atom
**Calculated volume**: 340 Å³/cell
**Uncorrected formation energy**: 0.29 eV per atom

The structure in extended XYZ format:
```
16
Lattice="8.3976 0.0000 0.0000 0.0000 8.3976 0.0000 0.0000 0.0000 4.8219" Properties=species:S:1:pos:R:3 pbc="T T T"
Ni 0.0000 0.0000 0.0000
Ni 0.0000 4.1988 1.2055
Ni 4.1988 0.0000 3.6164
Ni 4.1988 4.1988 2.4110
Ag 1.4160 2.0994 0.6027
Ag 2.0994 5.6148 1.8082
Ag 2.0994 6.9817 4.2192
Ag 2.7828 2.0994 3.0137
Ag 5.6148 6.2982 3.0137
Ag 6.2982 1.4160 4.2192
Ag 6.2982 2.7828 1.8082
Ag 6.9817 6.2982 0.6027
Te 0.0000 0.0000 2.4110
Te 0.0000 4.1988 3.6164
Te 4.1988 0.0000 1.2055
Te 4.1988 4.1988 0.0000
```

=====

[3]
Below is a relaxed structure of NiAgTe2, with properties calculated at the GGA-PBE level.

Computed properties:
**Crystal system**: orthorhombic
**Uncorrected energy**: -3.387 eV/atom
**Calculated volume**: 170 Å³/cell
**Uncorrected formation energy**: 0.34 eV per atom

The structure in extended XYZ format:
```
8
Lattice="6.2244 0.0000 0.0000 0.0000 7.3524 0.0000 0.0000 0.0000 3.7150" Properties=species:S:1:pos:R:3 pbc="T T T"
Ni 0.0000 0.0000 0.0000
Ni 3.1122 3.6762 0.0000
Ag 0.0000 3.6762 0.0000
Ag 3.1122 0.0000 0.0000
Te 1.5561 1.8381 1.8575
Te 1.5561 5.5143 1.8575
Te 4.6683 1.8381 1.8575
Te 4.6683 5.5143 1.8575
```

=====

[4]
Below is a relaxed structure of Ni2AgTe2, with properties calculated at the GGA-PBE level.

Computed properties:
**Crystal system**: tetragonal
**Uncorrected energy**: -4.123 eV/atom
**Calculated volume**: 202 Å³/cell
**Uncorrected formation energy**: 0.02 eV per atom

The structure in extended XYZ format:
```
10
Lattice="3.6538 0.0000 0.0000 0.0000 3.6538 0.0000 0.0000 0.0000 15.1176" Properties=species:S:1:pos:R:3 pbc="T T T"
Ni 0.0000 1.8269 3.7794
Ni 0.0000 1.8269 11.3382
Ni 1.8269 0.0000 3.7794
Ni 1.8269 0.0000 11.3382
Ag 0.0000 0.0000 0.0000
Ag 1.8269 1.8269 7.5588
Te 0.0000 0.0000 5.5741
Te 0.0000 0.0000 9.5434
Te 1.8269 1.8269 1.9847
Te 1.8269 1.8269 13.1329
```